A plane-wave DFT calculation with GGA-PBE was carried out for a relaxed structure of YScAs2.

Values from the calculation:
space group: R-3m
formation energy: -140.1 kJ/mol of atoms
excess energy over the best structure of this formula in the dataset: 0 meV per atom

Lattice parameters (Å, degrees): 6.9176 6.9176 6.9176 33.69 33.69 33.69
Element x y z (fractional)
1 As 0.5052 0.5052 0.5052
2 As 0.9948 0.9948 0.9948
3 Y 0.7500 0.7500 0.7500
4 Sc 0.2500 0.2500 0.2500